# 1
Here is a relaxed structure of Hg3Pt5 from the Alexandria database. Energies are from GGA-PBE.

Results
Excess energy over the best structure of this formula in the dataset = 5.45 kcal/mol of atoms
ΔH_f (0 K) = 26.9 kJ per mole of atoms

Unit cell a=8.0025 b=8.0025 c=5.3638 alpha=90.00 beta=90.00 gamma=120.00
Positions (direct):
Hg: 0.0000 0.4027 0.2500
Hg: 0.0000 0.5973 0.7500
Hg: 0.4027 0.0000 0.2500
Hg: 0.4027 0.4027 0.7500
Hg: 0.5973 0.0000 0.7500
Hg: 0.5973 0.5973 0.2500
Pt: 0.0000 0.1997 0.7500
Pt: 0.0000 0.8003 0.2500
Pt: 0.1997 0.0000 0.7500
Pt: 0.1997 0.1997 0.2500
Pt: 0.3333 0.6667 0.0000
Pt: 0.3333 0.6667 0.5000
Pt: 0.6667 0.3333 0.0000
Pt: 0.6667 0.3333 0.5000
Pt: 0.8003 0.0000 0.2500
Pt: 0.8003 0.8003 0.7500

# 2
Here is a relaxed structure of CuTe2P from the Alexandria database. Energies are from GGA-PBE.

Unit cell a=7.7392 b=7.7392 c=7.7392 alpha=154.23 beta=151.57 gamma=38.75
Positions (direct):
Cu: 0.0000 0.0000 0.0000
Te: 0.4357 0.4357 0.0000
Te: 0.7049 0.2049 0.5000
P: 0.1175 0.6175 0.5000

# 3
Here is a relaxed structure of SrPmH6Pt2 from the Alexandria database. Energies are from GGA-PBE.

Unit cell a=6.3410 b=6.3410 c=6.8050 alpha=103.41 beta=103.41 gamma=103.49
Positions (direct):
Sr: 0.1537 0.8463 0.7500
Sr: 0.8463 0.1537 0.2500
Pm: 0.4116 0.5884 0.2500
Pm: 0.5884 0.4116 0.7500
H: 0.0803 0.5718 0.3726
H: 0.1585 0.2174 0.0022
H: 0.2174 0.1585 0.5022
H: 0.3075 0.5370 0.8809
H: 0.4282 0.9197 0.1274
H: 0.4630 0.6925 0.6191
H: 0.5370 0.3075 0.3809
H: 0.5718 0.0803 0.8726
H: 0.6925 0.4630 0.1191
H: 0.7826 0.8415 0.4978
H: 0.8415 0.7826 0.9978
H: 0.9197 0.4282 0.6274
Pt: 0.0508 0.3294 0.8178
Pt: 0.3294 0.0508 0.3178
Pt: 0.6706 0.9492 0.6822
Pt: 0.9492 0.6706 0.1822

Values of total moment, in order: 0.0; 0.0; 0.0, all in μB per formula unit.
Values of total DFT energy (no corrections), in order: -3.6102; -3.6479; -4.4404, all in eV/atom.
Values of D(E_F), in order: 12.780; 1.946; 6.152, all in states/eV per cell.